# Ba2ReMoO, optimized geometry, DFT GGA+U
data_Ba2ReMoO
_chemical_formula_sum 'Ba2 Re1 Mo1 O1'
_cell_length_a 5.503
_cell_length_b 5.503
_cell_length_c 4.353
_cell_angle_alpha 90.00
_cell_angle_beta 90.00
_cell_angle_gamma 90.00
_symmetry_space_group_name_H-M 'P 4/m m m'
_symmetry_Int_Tables_number 123
_symmetry_space_group_name_Hall '-P 4 2'
loop_
_atom_site_label
_atom_site_type_symbol
_atom_site_fract_x
_atom_site_fract_y
_atom_site_fract_z
_atom_site_occupancy
Ba1 Ba 0.000 0.500 0.000 1
Re1 Re 0.000 0.000 0.500 1
Mo1 Mo 0.500 0.500 0.500 1
O1 O 0.500 0.500 0.000 1
# Total energy, eV per atom: -5.391
# Crystal system: tetragonal